PuZrC: relaxed, PBE-GGA.

## Properties
- uncorrected energy (Ry per atom) = -0.800
- symmetry = P3m1
- magnetic moment (μB/f.u.) = 4.90

a = 3.3245 Å, b = 3.3245 Å, c = 5.9798 Å
α = 90.00°, β = 90.00°, γ = 120.00°
Last column: nearest neighbours and their distance in Å.
Atoms (fractional coordinates):
Pu  0.0000  0.0000  0.0000  3 C 2.43
Zr  0.6667  0.3333  0.4572  3 C 2.29
C  0.3333  0.6667  0.2490  3 Zr 2.29, 3 Pu 2.43